Crystalline Mn2GeO4 at its relaxed geometry, computed with PBE with a Hubbard U.

```
data_Mn2GeO4
_cell_length_a 5.3494
_cell_length_b 9.3949
_cell_length_c 3.0138
_cell_angle_alpha 90.00
_cell_angle_beta 90.00
_cell_angle_gamma 90.00
_space_group_name_H-M_alt 'P b a m'
_space_group_IT_number 55
_space_group_name_Hall '-P 2 2ab'
loop_
_atom_site_label
_atom_site_fract_x
_atom_site_fract_y
_atom_site_fract_z
Mn1 0.0646 0.1772 0.0000
Ge1 0.0000 0.5000 0.5000
O1 0.1303 0.6872 0.5000
O2 0.2302 0.4562 0.0000
```

## Properties
**Final energy**: -7.2827 eV/atom